Record 1
Below is a geometry-optimized Ce2RuPt structure, with properties calculated at the PBE-GGA level.

a b c (Å): 4.0251 4.0251 19.9647
angles (deg): 90.00 90.00 120.00
Last column: nearest neighbours and their distance in Å.
Sites, in units of the cell vectors:
1 Ce 0.0000 0.0000 0.2451  3 Ru 2.80, 3 Pt 2.92
2 Ce 0.0000 0.0000 0.7549  3 Ru 2.80, 3 Pt 2.92
3 Ce 0.3333 0.6667 0.4216  3 Ru 2.80, 3 Pt 2.92
4 Ce 0.3333 0.6667 0.9117  3 Ru 2.80, 3 Pt 2.92
5 Ce 0.6667 0.3333 0.0883  3 Ru 2.80, 3 Pt 2.92
6 Ce 0.6667 0.3333 0.5784  3 Ru 2.80, 3 Pt 2.92
7 Ru 0.0000 0.0000 0.5000  6 Ce 2.80
8 Ru 0.3333 0.6667 0.1667  6 Ce 2.80
9 Ru 0.6667 0.3333 0.8333  6 Ce 2.80
10 Pt 0.0000 0.0000 0.0000  6 Ce 2.92
11 Pt 0.3333 0.6667 0.6667  6 Ce 2.92
12 Pt 0.6667 0.3333 0.3333  6 Ce 2.92

Output
Total magnetization, μB/f.u.: 0.00
ΔE_f, meV/atom: -646

---

Record 2
Below is a geometry-optimized Ce6Ru2Pt structure, with properties calculated at the PBE-GGA level.

a b c (Å): 6.5170 7.1310 11.6752
angles (deg): 90.00 122.55 90.00
Last column: nearest neighbours and their distance in Å.
Sites, in units of the cell vectors:
1 Ce 0.0737 0.1939 0.4232  2 Ru 2.78-3.10, 1 Pt 2.78
2 Ce 0.0737 0.3061 0.9232  2 Ru 2.78-3.10, 1 Pt 2.78
3 Ce 0.2669 0.6443 0.4434  1 Pt 2.85, 2 Ru 3.00-3.03
4 Ce 0.2669 0.8557 0.9434  1 Pt 2.85, 2 Ru 3.00-3.03
5 Ce 0.4203 0.0732 0.2373  2 Ru 2.61-2.71, 1 Pt 2.87
6 Ce 0.4203 0.4268 0.7373  2 Ru 2.61-2.71, 1 Pt 2.87
7 Ce 0.5797 0.5732 0.2627  2 Ru 2.61-2.71, 1 Pt 2.87
8 Ce 0.5797 0.9268 0.7627  2 Ru 2.61-2.71, 1 Pt 2.87
9 Ce 0.7331 0.1443 0.0566  1 Pt 2.85, 2 Ru 3.00-3.03
10 Ce 0.7331 0.3557 0.5566  1 Pt 2.85, 2 Ru 3.00-3.03
11 Ce 0.9263 0.6939 0.0768  2 Ru 2.78-3.10, 1 Pt 2.78
12 Ce 0.9263 0.8061 0.5768  2 Ru 2.78-3.10, 1 Pt 2.78
13 Ru 0.1885 0.1203 0.7237  3 Ce 2.61-2.78
14 Ru 0.1885 0.3797 0.2237  3 Ce 2.61-2.78
15 Ru 0.8115 0.6203 0.7763  3 Ce 2.61-2.78
16 Ru 0.8115 0.8797 0.2763  3 Ce 2.61-2.78
17 Pt 0.5000 0.0000 0.5000  6 Ce 2.78-2.87
18 Pt 0.5000 0.5000 0.0000  6 Ce 2.78-2.87

Output
Total magnetization, μB/f.u.: 1.91
Distance to the lowest polymorph of the same formula, meV per atom: 119.5
ΔE_f, meV/atom: -340